No. 1
Here is a relaxed HoMg4Pd5 crystal from Alexandria. Energies are from PBE-GGA.

Geometry as POSCAR:
```
HoMg4Pd5
1.0
-3.009 1.107 -0.683
0.594 -0.361 -3.203
-5.656 -14.982 0.639
Ho Mg Pd
1 4 5
Cartesian
0.000 0.000 0.000
-1.198 -3.173 0.135
-2.285 -6.053 0.258
-3.371 -8.930 0.381
-4.459 -11.809 0.504
-1.853 -1.338 -1.870
-2.945 -4.229 -1.747
-4.035 -7.118 -1.624
-5.126 -10.007 -1.500
-6.217 -12.898 -1.377
```

Properties
The formation energy from the elements is -7.58 eV per formula unit. The value obtained for the total energy is -4.450 eV per atom. The value obtained for the total magnetization is 0.00 μB per cell. As for the space group: P4/mmm.

No. 2
Here is a relaxed PmDy2Tm6 crystal from Alexandria. Energies are from PBE-GGA.

Geometry as POSCAR:
```
PmDy2Tm6
1.0
-2.646 3.659 4.658
-2.204 -6.841 6.117
7.913 2.647 4.410
Pm Dy Tm
2 4 12
Cartesian
6.022 2.409 5.782
-2.959 -2.943 9.403
3.567 -1.972 7.306
1.327 0.085 5.465
-0.504 1.438 7.880
1.735 -0.619 9.721
-0.550 -1.879 7.541
-1.467 -0.350 10.607
3.613 1.344 7.645
4.530 -0.185 4.578
1.593 3.494 5.811
4.224 1.625 11.016
1.469 -4.029 9.375
-1.161 -2.160 4.169
4.966 -1.642 10.448
1.164 0.913 2.114
-1.903 1.108 4.738
1.899 -1.448 13.071
```

Properties
The formation energy from the elements is 0.90 eV per formula unit. The value obtained for the total energy is -4.432 eV per atom. The value obtained for the total magnetization is 0.00 μB per cell. As for the space group: C2/c. The energy above the most stable polymorph in this dataset is 0.676 eV/f.u.

No. 3
Here is a relaxed Pa2HgPd crystal from Alexandria. Energies are from PBE-GGA.

Geometry as POSCAR:
```
Pa2HgPd
1.0
-1.808 -0.231 2.564
-2.245 -2.200 0.149
6.078 -8.080 5.489
Pa Hg Pd
2 1 1
Cartesian
3.945 -5.994 4.173
-1.921 -4.517 4.029
0.000 0.000 0.000
1.012 -5.255 4.101
```

Properties
The formation energy from the elements is 0.48 eV per formula unit. The value obtained for the total energy is -6.002 eV per atom. The value obtained for the total magnetization is 0.01 μB per cell. As for the space group: R-3m. The energy above the most stable polymorph in this dataset is 1.192 eV/f.u.

No. 4
Here is a relaxed Tb2CeNdDy4 crystal from Alexandria. Energies are from PBE-GGA.

Geometry as POSCAR:
```
Tb2CeNdDy4
1.0
-3.469 0.339 0.713
-1.228 0.145 -6.038
-1.550 -11.521 -2.064
Tb Ce Nd Dy
2 1 1 4
Cartesian
-1.550 -11.521 -2.064
-2.510 -5.591 -0.675
-1.389 -5.688 -4.051
-3.899 -11.279 -4.726
-2.078 -8.511 -6.061
-4.169 -2.527 -1.327
-3.043 -2.640 -4.671
-3.204 -8.397 -2.717
```

Properties
The formation energy from the elements is 0.32 eV per formula unit. The value obtained for the total energy is -4.756 eV per atom. The value obtained for the total magnetization is 0.85 μB per cell. As for the space group: P2/m.

No. 5
Here is a relaxed Y2HgOs crystal from Alexandria. Energies are from PBE-GGA.

Geometry as POSCAR:
```
Y2HgOs
1.0
3.479 0.000 0.000
0.000 3.455 0.009
0.000 3.450 7.674
Y Os Hg
2 1 1
Cartesian
0.000 3.446 7.418
0.000 3.456 4.098
1.739 5.179 5.762
1.739 1.726 1.921
```

Properties
The formation energy from the elements is -1.45 eV per formula unit. The value obtained for the total energy is -6.477 eV per atom. The value obtained for the total magnetization is 0.00 μB per cell. As for the space group: P2/m.

No. 6
Here is a relaxed Na3Ag8Bi crystal from Alexandria. Energies are from PBE-GGA.

Geometry as POSCAR:
```
Na3Ag8Bi
1.0
-3.209 -4.357 -1.636
1.013 -5.177 2.033
-6.588 -1.533 7.239
Na Ag Bi
3 8 1
Cartesian
-6.599 -4.914 6.495
-2.208 -9.532 0.410
-4.375 -5.539 3.797
-3.793 -6.639 0.706
-4.990 -7.813 6.174
-2.190 -4.463 1.523
-6.595 -9.992 5.356
-3.304 -2.456 3.253
-7.688 -7.992 7.061
-1.684 -7.048 2.538
-7.101 -7.403 4.339
-4.382 -8.921 3.049
```

Properties
The formation energy from the elements is -0.87 eV per formula unit. The value obtained for the total energy is -2.627 eV per atom. The value obtained for the total magnetization is 0.00 μB per cell. As for the space group: R3m.